*i*
VASP calculation (PBE) on a relaxed structure of SnBS2Cl.

a b c (Å): 5.0063 5.0063 5.1813
angles (deg): 90.00 90.00 90.00
Fractional coordinates of all 5 atoms:
1 Sn 0.0000 0.0000 0.0000
2 B 0.5000 0.5000 0.5000
3 S 0.0000 0.5000 0.0000
4 S 0.5000 0.0000 0.0000
5 Cl 0.0000 0.0000 0.5000

Computed properties:
As for the total magnetic moment: 0.000 μB per cell. As for the density of states at the Fermi level: 0.286 states/eV per atom. The theoretical density comes out at 2.9 g/cm3.

=====

*ii*
VASP calculation (PBE) on a relaxed structure of SnBS2Cl.

a b c (Å): 4.3146 4.3146 4.6803
angles (deg): 90.00 90.00 90.00
Fractional coordinates of all 5 atoms:
1 Sn 0.0000 0.0000 0.0000
2 B 0.5000 0.5000 0.5000
3 S 0.0000 0.5000 0.5000
4 S 0.5000 0.0000 0.5000
5 Cl 0.5000 0.5000 0.0000

Computed properties:
As for the total magnetic moment: 0.000 μB per cell. As for the density of states at the Fermi level: 0.304 states/eV per atom. The theoretical density comes out at 4.4 g/cm3.

=====

Need the numbers? Relative energies in kJ/mol of atoms: *i* 66.9; *ii* 0.0.

=====

*i*
VASP calculation (PBE) on a relaxed structure of SrBS2Cl.

a b c (Å): 5.7682 5.7682 5.5577
angles (deg): 90.00 90.00 90.00
Fractional coordinates of all 5 atoms:
1 Sr 0.0000 0.0000 0.0000
2 B 0.5000 0.5000 0.5000
3 S 0.0000 0.5000 0.0000
4 S 0.5000 0.0000 0.0000
5 Cl 0.0000 0.0000 0.5000

Computed properties:
As for the total magnetic moment: 2.002 μB per cell. As for the density of states at the Fermi level: 0.883 states/eV per atom. The theoretical density comes out at 1.8 g/cm3.

=====

*ii*
VASP calculation (PBE) on a relaxed structure of SrBS2Cl.

a b c (Å): 4.2757 4.2757 5.1776
angles (deg): 90.00 90.00 90.00
Fractional coordinates of all 5 atoms:
1 Sr 0.0000 0.0000 0.0000
2 B 0.5000 0.5000 0.5000
3 S 0.0000 0.5000 0.5000
4 S 0.5000 0.0000 0.5000
5 Cl 0.5000 0.5000 0.0000

Computed properties:
As for the total magnetic moment: 0.000 μB per cell. As for the density of states at the Fermi level: 0.063 states/eV per atom. The theoretical density comes out at 3.5 g/cm3.

=====

Need the numbers? Relative energies in kJ/mol of atoms: *i* 124.3; *ii* 0.0.

=====

*i*
VASP calculation (PBE) on a relaxed structure of TaBS2Cl.

a b c (Å): 4.2433 4.2433 4.0615
angles (deg): 90.00 90.00 90.00
Fractional coordinates of all 5 atoms:
1 Ta 0.0000 0.0000 0.0000
2 B 0.5000 0.5000 0.5000
3 S 0.0000 0.5000 0.5000
4 S 0.5000 0.0000 0.5000
5 Cl 0.5000 0.5000 0.0000

Computed properties:
As for the total magnetic moment: 1.484 μB per cell. As for the density of states at the Fermi level: 0.611 states/eV per atom. The theoretical density comes out at 6.6 g/cm3.

=====

*ii*
VASP calculation (PBE) on a relaxed structure of TaBS2Cl.

a b c (Å): 4.7944 4.7944 4.8326
angles (deg): 90.00 90.00 90.00
Fractional coordinates of all 5 atoms:
1 Ta 0.0000 0.0000 0.0000
2 B 0.5000 0.5000 0.5000
3 S 0.0000 0.5000 0.0000
4 S 0.5000 0.0000 0.0000
5 Cl 0.0000 0.0000 0.5000

Computed properties:
As for the total magnetic moment: 0.000 μB per cell. As for the density of states at the Fermi level: 0.585 states/eV per atom. The theoretical density comes out at 4.4 g/cm3.

=====

Need the numbers? Relative energies in kJ/mol of atoms: *i* 19.6; *ii* 0.0.

=====

*i*
VASP calculation (PBE) on a relaxed structure of TlBS2Cl.

a b c (Å): 4.1127 4.1127 6.7656
angles (deg): 90.00 90.00 90.00
Fractional coordinates of all 5 atoms:
1 Tl 0.0000 0.0000 0.0000
2 B 0.5000 0.5000 0.5000
3 S 0.0000 0.5000 0.5000
4 S 0.5000 0.0000 0.5000
5 Cl 0.5000 0.5000 0.0000

Computed properties:
As for the total magnetic moment: 0.000 μB per cell. As for the density of states at the Fermi level: 0.691 states/eV per atom. The theoretical density comes out at 4.6 g/cm3.

=====

*ii*
VASP calculation (PBE) on a relaxed structure of TlBS2Cl.

a b c (Å): 5.1059 5.1059 5.3822
angles (deg): 90.00 90.00 90.00
Fractional coordinates of all 5 atoms:
1 Tl 0.0000 0.0000 0.0000
2 B 0.5000 0.5000 0.5000
3 S 0.0000 0.5000 0.0000
4 S 0.5000 0.0000 0.0000
5 Cl 0.0000 0.0000 0.5000

Computed properties:
As for the total magnetic moment: 0.367 μB per cell. As for the density of states at the Fermi level: 1.159 states/eV per atom. The theoretical density comes out at 3.7 g/cm3.

=====

Need the numbers? Relative energies in kJ/mol of atoms: *i* 0.0; *ii* 98.7.

=====

*i*
VASP calculation (PBE) on a relaxed structure of TlBSCl2.

a b c (Å): 5.5334 5.5334 3.5475
angles (deg): 90.00 90.00 90.00
Fractional coordinates of all 5 atoms:
1 Tl 0.0000 0.0000 0.0000
2 B 0.5000 0.5000 0.5000
3 S 0.5000 0.5000 0.0000
4 Cl 0.0000 0.5000 0.5000
5 Cl 0.5000 0.0000 0.5000

Computed properties:
As for the total magnetic moment: 0.000 μB per cell. As for the density of states at the Fermi level: 0.176 states/eV per atom. The theoretical density comes out at 4.9 g/cm3.

=====

*ii*
VASP calculation (PBE) on a relaxed structure of TlBSCl2.

a b c (Å): 5.3198 5.3198 5.1413
angles (deg): 90.00 90.00 90.00
Fractional coordinates of all 5 atoms:
1 Tl 0.0000 0.0000 0.0000
2 B 0.5000 0.5000 0.5000
3 S 0.0000 0.0000 0.5000
4 Cl 0.0000 0.5000 0.0000
5 Cl 0.5000 0.0000 0.0000

Computed properties:
As for the total magnetic moment: 0.153 μB per cell. As for the density of states at the Fermi level: 0.677 states/eV per atom. The theoretical density comes out at 3.6 g/cm3.

=====

Need the numbers? Relative energies in kJ/mol of atoms: *i* 0.0; *ii* 83.4.

=====

*i*
VASP calculation (PBE) on a relaxed structure of ZnBSCl2.

a b c (Å): 4.8645 4.8645 4.7375
angles (deg): 90.00 90.00 90.00
Fractional coordinates of all 5 atoms:
1 Zn 0.0000 0.0000 0.0000
2 B 0.5000 0.5000 0.5000
3 S 0.0000 0.0000 0.5000
4 Cl 0.0000 0.5000 0.0000
5 Cl 0.5000 0.0000 0.0000

Computed properties:
As for the total magnetic moment: 0.891 μB per cell. As for the density of states at the Fermi level: 0.777 states/eV per atom. The theoretical density comes out at 2.7 g/cm3.

=====

*ii*
VASP calculation (PBE) on a relaxed structure of ZnBSCl2.

a b c (Å): 4.2393 4.2393 4.5677
angles (deg): 90.00 90.00 90.00
Fractional coordinates of all 5 atoms:
1 Zn 0.0000 0.0000 0.0000
2 B 0.5000 0.5000 0.5000
3 S 0.5000 0.5000 0.0000
4 Cl 0.0000 0.5000 0.5000
5 Cl 0.5000 0.0000 0.5000

Computed properties:
As for the total magnetic moment: 0.000 μB per cell. As for the density of states at the Fermi level: 0.212 states/eV per atom. The theoretical density comes out at 3.6 g/cm3.

=====

Need the numbers? Relative energies in kJ/mol of atoms: *i* 37.1; *ii* 0.0.